PBE-GGA SnCBr3, relaxed; crystal system = cubic
1.0
4.841 0.000 0.000
0.000 4.841 0.000
0.000 0.000 4.841
Sn C Br
1 1 3
Direct
0.000 0.000 0.000
0.500 0.500 0.500
0.000 0.500 0.500
0.500 0.000 0.500
0.500 0.500 0.000

***

PBE-GGA Sn2CBr, relaxed; crystal system = cubic
1.0
0.000 3.510 3.510
3.510 0.000 3.510
3.510 3.510 0.000
Sn C Br
2 1 1
Direct
0.250 0.250 0.250
0.750 0.750 0.750
0.000 0.000 0.000
0.500 0.500 0.500

***

PBE-GGA SnC2Br, relaxed; crystal system = cubic
1.0
0.000 3.129 3.129
3.129 0.000 3.129
3.129 3.129 0.000
Sn C Br
1 2 1
Direct
0.000 0.000 0.000
0.250 0.250 0.250
0.750 0.750 0.750
0.500 0.500 0.500

***

Number 1: E above lowest polymorph 0 meV per atom, total magnetic moment 0.00 μB per formula unit, raw formation energy 0.760 eV per atom. Number 2: E above lowest polymorph 645 meV per atom, total magnetic moment 0.00 μB per formula unit, raw formation energy 1.250 eV per atom. Number 3: E above lowest polymorph 606 meV per atom, total magnetic moment 0.00 μB per formula unit, raw formation energy 2.641 eV per atom.